Here is a geometry-optimized PrPuIn2O8 structure from Alexandria via LeMat-Bulk. Energies are from GGA-PBE.

Uncorrected formation energy = -2135.1 meV/atom
Mass density = 6.9 g/cm³

abc: 5.071 5.071 6.931
angles: 90.00 90.00 90.11
Fractional coordinates of all 12 atoms:
O  0.188  0.812  0.211
O  0.704  0.704  0.000
O  0.812  0.188  0.211
O  0.681  0.681  0.500
O  0.812  0.188  0.789
O  0.188  0.812  0.789
O  0.296  0.296  0.000
O  0.319  0.319  0.500
Pr  0.000  0.000  0.500
In  0.500  0.500  0.250
In  0.500  0.500  0.750
Pu  0.000  0.000  0.000

---

Here is a geometry-optimized Pr2InRhO6 structure from Alexandria via LeMat-Bulk. Energies are from GGA-PBE.

Uncorrected formation energy = -2230.2 meV/atom
Mass density = 7.4 g/cm³

abc: 5.614 5.939 8.067
angles: 90.00 91.22 90.00
Fractional coordinates of all 20 atoms:
O  0.687  0.297  0.559
O  0.699  0.305  0.942
O  0.885  0.541  0.243
O  0.313  0.703  0.441
O  0.801  0.805  0.558
O  0.615  0.041  0.257
O  0.813  0.797  0.941
O  0.385  0.959  0.743
O  0.115  0.459  0.757
O  0.301  0.695  0.058
O  0.199  0.195  0.442
O  0.187  0.203  0.059
Pr  0.978  0.067  0.750
Pr  0.022  0.933  0.250
Pr  0.522  0.567  0.750
Pr  0.478  0.433  0.250
In  0.000  0.500  0.500
In  0.500  0.000  0.000
Rh  0.000  0.500  0.000
Rh  0.500  0.000  0.500

---

Here is a geometry-optimized PrIn2RuO8 structure from Alexandria via LeMat-Bulk. Energies are from GGA-PBE.

Uncorrected formation energy = -1471.7 meV/atom
Mass density = 6.0 g/cm³

abc: 4.964 4.961 6.777
angles: 90.00 90.00 90.21
Fractional coordinates of all 12 atoms:
O  0.284  0.282  0.000
O  0.187  0.811  0.797
O  0.322  0.320  0.500
O  0.187  0.811  0.203
O  0.678  0.680  0.500
O  0.716  0.718  0.000
O  0.813  0.189  0.797
O  0.813  0.189  0.203
In  0.500  0.500  0.242
In  0.500  0.500  0.758
Ru  0.000  0.000  0.000
Pr  0.000  0.000  0.500

---

Here is a geometry-optimized Pr2InS2O2 structure from Alexandria via LeMat-Bulk. Energies are from GGA-PBE.

Uncorrected formation energy = -2057.8 meV/atom
Mass density = 5.5 g/cm³

abc: 3.797 6.825 6.745
angles: 64.73 73.65 73.85
Fractional coordinates of all 7 atoms:
S  0.539  0.243  0.679
S  0.461  0.757  0.321
In  0.000  0.000  0.000
Pr  0.172  0.393  0.264
Pr  0.828  0.607  0.736
O  0.790  0.321  0.100
O  0.210  0.679  0.900

---

Here is a geometry-optimized PrInSO2 structure from Alexandria via LeMat-Bulk. Energies are from GGA-PBE.

Uncorrected formation energy = -2080.9 meV/atom
Mass density = 5.3 g/cm³

abc: 4.197 7.124 7.760
angles: 120.39 90.00 90.00
Fractional coordinates of all 10 atoms:
Pr  0.750  0.310  0.046
Pr  0.250  0.690  0.954
O  0.750  0.492  0.859
O  0.250  0.508  0.141
O  0.250  0.453  0.596
O  0.750  0.547  0.404
S  0.250  0.002  0.782
S  0.750  0.998  0.218
In  0.250  0.661  0.462
In  0.750  0.339  0.538

---

Here is a geometry-optimized PrInS2O structure from Alexandria via LeMat-Bulk. Energies are from GGA-PBE.

Uncorrected formation energy = -1765.2 meV/atom
Mass density = 5.3 g/cm³

abc: 4.026 4.026 13.027
angles: 90.00 90.00 90.00
Fractional coordinates of all 10 atoms:
Pr  0.000  0.500  0.405
Pr  0.500  0.000  0.595
O  0.000  0.000  0.500
O  0.500  0.500  0.500
In  0.000  0.500  0.892
In  0.500  0.000  0.108
S  0.500  0.000  0.915
S  0.500  0.000  0.292
S  0.000  0.500  0.085
S  0.000  0.500  0.708

---

Here is a geometry-optimized PrIn2SbO8 structure from Alexandria via LeMat-Bulk. Energies are from GGA-PBE.

Uncorrected formation energy = -1559.2 meV/atom
Mass density = 6.3 g/cm³

abc: 4.779 4.847 7.093
angles: 90.00 90.00 86.94
Fractional coordinates of all 12 atoms:
Sb  0.000  0.000  0.000
O  0.644  0.780  0.000
O  0.446  0.251  0.500
O  0.868  0.242  0.213
O  0.132  0.758  0.787
O  0.554  0.749  0.500
O  0.356  0.220  0.000
O  0.868  0.242  0.787
O  0.132  0.758  0.213
In  0.500  0.500  0.762
In  0.500  0.500  0.238
Pr  0.000  0.000  0.500

---

Here is a geometry-optimized Pr2ScInO structure from Alexandria via LeMat-Bulk. Energies are from GGA-PBE.

Uncorrected formation energy = -1384.2 meV/atom
Mass density = 6.6 g/cm³

abc: 4.416 5.116 5.116
angles: 90.00 90.00 90.00
Fractional coordinates of all 5 atoms:
Sc  0.500  0.000  0.000
Pr  0.000  0.000  0.500
Pr  0.000  0.500  0.000
O  0.000  0.000  0.000
In  0.500  0.500  0.500

---

The highest mass density belongs to which entry? Pr2InRhO6

---

Which value of uncorrected formation energy does entry 5 give? -2080.9 meV/atom